{"formula": "Er2HfZr", "functional": "PBE", "state": "relaxed", "polymorph_energy_mev_per_atom": 0, "magmom_total_mub_per_cell": 0.00, "lattice": [[3.334, 0.000, 0.000], [1.667, 2.888, 0.000], [1.667, 0.963, 10.765]], "species": ["Zr", "Er", "Er", "Hf"], "frac_coords": [[0.500, 0.500, 0.499], [0.251, 0.251, 0.248], [0.083, 0.083, 0.752], [0.666, 0.666, 0.001]]}



{"formula": "KMnH2Cl8", "functional": "PBE", "state": "relaxed", "magmom_total_mub_per_cell": 4.10, "dft_energy_ev_per_atom": -3.443, "lattice": [[6.142, -0.426, 0.293], [-0.303, 6.883, -0.685], [0.402, -1.172, 8.544]], "species": ["H", "H", "Cl", "Cl", "Cl", "Cl", "Cl", "Cl", "Cl", "Cl", "Mn", "K"], "frac_coords": [[0.556, 0.759, 0.243], [0.444, 0.241, 0.757], [0.060, 0.770, 0.133], [0.085, 0.782, 0.767], [0.940, 0.230, 0.867], [0.915, 0.218, 0.233], [0.488, 0.276, 0.615], [0.512, 0.724, 0.385], [0.642, 0.858, 0.990], [0.358, 0.142, 0.010], [0.000, 0.000, 0.000], [0.000, 0.000, 0.500]]}



{"formula": "NdY3Er2Te6", "functional": "PBE", "state": "relaxed", "magmom_total_mub_per_cell": 0.00, "raw_formation_energy_ev_per_atom": -1.2968, "lattice": [[-0.686, 4.160, -1.046], [-5.348, -2.520, -6.521], [-5.638, -1.218, 7.872]], "species": ["Te", "Te", "Te", "Te", "Te", "Te", "Y", "Y", "Y", "Er", "Er", "Nd"], "frac_coords": [[0.997, 0.741, 0.995], [0.669, 0.584, 0.339], [0.673, 0.091, 0.345], [0.003, 0.259, 0.005], [0.327, 0.909, 0.655], [0.331, 0.416, 0.661], [0.500, 0.500, 0.000], [0.160, 0.835, 0.319], [0.840, 0.165, 0.681], [0.837, 0.669, 0.673], [0.163, 0.331, 0.327], [0.500, 0.000, 0.000]]}



{"formula": "HfZr2Ta", "functional": "PBE", "state": "relaxed", "polymorph_energy_mev_per_atom": 31, "magmom_total_mub_per_cell": 0.00, "lattice": [[3.117, 0.000, 0.000], [1.559, 2.699, 0.000], [1.559, 0.900, 10.336]], "species": ["Zr", "Zr", "Hf", "Ta"], "frac_coords": [[0.085, 0.085, 0.744], [0.248, 0.248, 0.256], [0.667, 0.667, 0.000], [0.500, 0.500, 0.501]]}



{"formula": "HoTiRe4", "functional": "PBE", "state": "relaxed", "magmom_total_mub_per_cell": 0.00, "dft_energy_ev_per_atom": -10.517, "lattice": [[-1.003, -5.124, -0.901], [2.708, -2.614, -3.729], [3.549, -3.679, 1.393]], "species": ["Re", "Re", "Re", "Re", "Ho", "Ti"], "frac_coords": [[0.625, 0.124, 0.625], [0.124, 0.625, 0.625], [0.625, 0.625, 0.124], [0.625, 0.625, 0.625], [0.250, 0.250, 0.250], [0.000, 0.000, 0.000]]}



{"formula": "LiPaTcBi", "functional": "PBE", "state": "relaxed", "magmom_total_mub_per_cell": 0.00, "dft_energy_ev_per_atom": -6.453, "lattice": [[4.822, 0.000, 0.000], [2.411, 4.176, 0.000], [2.411, 1.392, 3.937]], "species": ["Tc", "Bi", "Li", "Pa"], "frac_coords": [[0.000, 0.000, 0.000], [0.250, 0.250, 0.250], [0.500, 0.500, 0.500], [0.750, 0.750, 0.750]]}



{"formula": "SrBeNi2", "functional": "PBE", "state": "relaxed", "polymorph_energy_mev_per_atom": 408, "magmom_total_mub_per_cell": 0.00, "lattice": [[3.094, 0.008, 0.000], [-0.008, 3.094, 0.000], [0.000, 0.000, 6.567]], "species": ["Be", "Sr", "Ni", "Ni"], "frac_coords": [[0.500, 0.500, 0.858], [0.000, 0.000, 0.497], [0.000, 0.000, 0.967], [0.500, 0.500, 0.177]]}



{"formula": "TiGeIrRh", "functional": "PBE", "state": "relaxed", "polymorph_energy_mev_per_atom": 148, "magmom_total_mub_per_cell": 0.00, "lattice": [[4.372, 0.000, 0.000], [2.186, 3.786, 0.000], [2.186, 1.262, 3.569]], "species": ["Ir", "Ge", "Rh", "Ti"], "frac_coords": [[0.000, 0.000, 0.000], [0.750, 0.750, 0.750], [0.500, 0.500, 0.500], [0.250, 0.250, 0.250]]}